This record from the Alexandria database describes an optimized crystal structure of Li2VCdO4. The functional is PBE+U.

Calculated values
Total DFT energy (no corrections) = -5.79 eV per atom
Space-group type = I-42m (121)
Density = 4.07 g cm⁻³

abc: 4.944 4.944 5.330
angles: 117.63 117.63 90.00
Last column: magnetic moment on the atom in μB.
Sites, in units of the cell vectors:
V  0.500  0.500  0.000  0.98
Li  0.250  0.750  0.500  0.00
Li  0.750  0.250  0.500  0.00
O  0.410  0.844  0.254  -0.01
O  0.590  0.590  0.747  -0.01
O  0.844  0.410  0.254  -0.01
O  0.156  0.156  0.747  -0.01
Cd  0.000  0.000  0.000  0.03